1.
# Na2VBi, relaxed, DFT PBE-GGA
# energy of formation: 1.95 eV/f.u.
# symmetry: No. 122
data_Na2VBi
_cell_length_a 8.931
_cell_length_b 8.931
_cell_length_c 6.916
_cell_angle_alpha 49.79
_cell_angle_beta 49.79
_cell_angle_gamma 90.00
_symmetry_space_group_name_H-M 'P 1'
_symmetry_Int_Tables_number 1
loop_
_symmetry_equiv_pos_as_xyz
'x,y,z'
loop_
_atom_site_label
_atom_site_fract_x
_atom_site_fract_y
_atom_site_fract_z
Na1 0.623 0.125 0.250
Na2 0.875 0.873 0.750
Na3 0.375 0.377 0.750
Na4 0.127 0.625 0.250
Bi1 0.000 0.000 0.000
Bi2 0.750 0.250 0.500
V1 0.500 0.500 0.000
V2 0.250 0.750 0.500

2.
# Cd4In3, relaxed, DFT PBE-GGA
# energy of formation: 0.81 eV/f.u.
# energy above the most stable polymorph in this dataset: 5.9 kJ/mol of atoms
# symmetry: No. 191
data_Cd4In3
_cell_length_a 6.038
_cell_length_b 6.038
_cell_length_c 5.897
_cell_angle_alpha 90.00
_cell_angle_beta 90.00
_cell_angle_gamma 120.00
_symmetry_space_group_name_H-M 'P 1'
_symmetry_Int_Tables_number 1
loop_
_symmetry_equiv_pos_as_xyz
'x,y,z'
loop_
_atom_site_label
_atom_site_fract_x
_atom_site_fract_y
_atom_site_fract_z
In1 0.500 0.000 0.000
In2 0.000 0.500 0.000
In3 0.500 0.500 0.000
Cd1 0.333 0.667 0.500
Cd2 0.000 0.000 0.263
Cd3 0.000 0.000 0.737
Cd4 0.667 0.333 0.500

3.
# Rb2NaH2, relaxed, DFT PBE-GGA
# energy above the most stable polymorph in this dataset: 0.0 kJ/mol of atoms
# symmetry: No. 127
data_Rb2NaH2
_cell_length_a 8.430
_cell_length_b 8.430
_cell_length_c 3.871
_cell_angle_alpha 90.00
_cell_angle_beta 90.00
_cell_angle_gamma 90.00
_symmetry_space_group_name_H-M 'P 1'
_symmetry_Int_Tables_number 1
loop_
_symmetry_equiv_pos_as_xyz
'x,y,z'
loop_
_atom_site_label
_atom_site_fract_x
_atom_site_fract_y
_atom_site_fract_z
Na1 0.000 0.000 0.000
Na2 0.500 0.500 0.000
Rb1 0.353 0.147 0.500
Rb2 0.853 0.353 0.500
Rb3 0.147 0.647 0.500
Rb4 0.647 0.853 0.500
H1 0.655 0.155 0.000
H2 0.345 0.845 0.000
H3 0.845 0.655 0.000
H4 0.155 0.345 0.000

4.
# KMgGa2Ni, relaxed, DFT PBE-GGA
# energy of formation: -0.56 eV/f.u.
# symmetry: No. 123
data_KMgGa2Ni
_cell_length_a 4.716
_cell_length_b 4.716
_cell_length_c 4.988
_cell_angle_alpha 90.00
_cell_angle_beta 90.00
_cell_angle_gamma 90.00
_symmetry_space_group_name_H-M 'P 1'
_symmetry_Int_Tables_number 1
loop_
_symmetry_equiv_pos_as_xyz
'x,y,z'
loop_
_atom_site_label
_atom_site_fract_x
_atom_site_fract_y
_atom_site_fract_z
Ga1 0.000 0.500 0.000
Ga2 0.500 0.000 0.000
Ni1 0.000 0.000 0.000
Mg1 0.000 0.000 0.500
K1 0.500 0.500 0.500

5.
# BeCr2Mo, relaxed, DFT PBE-GGA
# energy of formation: 0.50 eV/f.u.
# symmetry: No. 99
data_BeCr2Mo
_cell_length_a 2.852
_cell_length_b 2.852
_cell_length_c 5.920
_cell_angle_alpha 90.00
_cell_angle_beta 90.00
_cell_angle_gamma 90.00
_symmetry_space_group_name_H-M 'P 1'
_symmetry_Int_Tables_number 1
loop_
_symmetry_equiv_pos_as_xyz
'x,y,z'
loop_
_atom_site_label
_atom_site_fract_x
_atom_site_fract_y
_atom_site_fract_z
Cr1 0.500 0.500 0.209
Cr2 0.000 0.000 0.000
Be1 0.500 0.500 0.779
Mo1 0.000 0.000 0.512

6.
# Rb2CaScCl6, relaxed, DFT PBE-GGA
# symmetry: No. 225
# E_form (uncorrected): -2.044 eV per atom
data_Rb2CaScCl6
_cell_length_a 7.495
_cell_length_b 7.495
_cell_length_c 7.494
_cell_angle_alpha 60.00
_cell_angle_beta 60.00
_cell_angle_gamma 90.00
_symmetry_space_group_name_H-M 'P 1'
_symmetry_Int_Tables_number 1
loop_
_symmetry_equiv_pos_as_xyz
'x,y,z'
loop_
_atom_site_label
_atom_site_fract_x
_atom_site_fract_y
_atom_site_fract_z
Cl1 0.244 0.244 0.512
Cl2 0.244 0.756 0.000
Cl3 0.756 0.756 0.488
Cl4 0.244 0.244 0.000
Cl5 0.756 0.244 0.000
Cl6 0.756 0.756 0.000
Ca1 0.500 0.500 0.000
Rb1 0.250 0.750 0.500
Rb2 0.750 0.250 0.500
Sc1 0.000 0.000 0.000

| no. | spin magnetization (μB/f.u.) |
| --- | --- |
| 1 | 3.872 |
| 2 | 0.000 |
| 3 | 0.000 |
| 4 | 0.000 |
| 5 | 0.633 |
| 6 | 1.000 |